[1]
VASP calculation (PBE) on KTaH2Se4 after structural relaxation.

## Properties
E ... -150.100 eV/cell
Total magnetic moment ... 0.0001 μB/atom
Crystal system ... monoclinic
Volume ... 29.5 A^3/atom

abc: 5.9108 20.7298 7.7218
angles: 90.00 92.71 90.00
Last column: nearest neighbours and their distance in Å.
Space group Cc (No. 9)
One atom of each set of equivalent atoms:
K 0.0000 0.1317 0.0000 x4  2 H 3.38-3.58, 6 Se 3.40-3.77
Ta 0.2644 0.1147 0.4696 x4  4 Se 2.32-2.52
H 0.2953 0.3235 0.9116 x4  1 Se 1.54
H 0.3686 0.0365 0.7978 x4  1 Se 1.51
Se 0.0112 0.2116 0.4818 x4  1 H 1.54
Se 0.0163 0.3686 0.7452 x4  1 H 2.25, 1 Ta 2.36
Se 0.0282 0.0278 0.4008 x4  1 Ta 2.32, 1 H 2.57
Se 0.4855 0.0987 0.7527 x4  1 H 1.51



[2]
VASP calculation (PBE) on La3Mg3Pd2Au after structural relaxation.

## Properties
E ... -78.213 eV/cell
Total magnetic moment ... 0.0014 μB/atom
Crystal system ... orthorhombic
Volume ... 24.4 A^3/atom

abc: 4.2221 13.4264 7.7501
angles: 90.00 90.00 90.00
Last column: nearest neighbours and their distance in Å.
Space group Amm2 (No. 38)
One atom of each set of equivalent atoms:
La 0.0000 0.0000 0.0000 x2  4 Pd 3.13, 1 Au 3.23, 2 Mg 3.40
La 0.0000 0.2086 0.6262 x4  4 Pd 3.15, 1 Au 3.24, 6 Mg 3.39-3.52
Mg 0.5000 0.0000 0.6569 x2  2 Au 2.82, 2 Pd 3.01
Mg 0.5000 0.1206 0.2973 x4  2 Au 2.82, 2 Pd 3.00-3.02
Pd 0.5000 0.1656 0.9184 x4  3 Mg 3.00-3.02, 6 La 3.13-3.15
Au 0.0000 0.0000 0.4165 x2  6 Mg 2.82



[3]
VASP calculation (PBE) on NdGa2Cu2Pd after structural relaxation.

## Properties
E ... -52.919 eV/cell
Total magnetic moment ... 0.0001 μB/atom
Crystal system ... orthorhombic
Volume ... 17.1 A^3/atom

abc: 5.2615 9.3080 4.1973
angles: 90.00 90.00 90.00
Last column: nearest neighbours and their distance in Å.
Space group Cmmm (No. 65)
One atom of each set of equivalent atoms:
Nd 0.0000 0.0000 0.0000 x2  6 Cu 3.01-3.10, 4 Pd 3.37
Ga 0.2500 0.2500 0.5000 x4  4 Cu 2.57, 2 Ga 2.63, 2 Pd 2.67
Cu 0.0000 0.3231 0.0000 x4  4 Ga 2.57, 2 Pd 2.67
Pd 0.0000 0.5000 0.5000 x2  4 Cu 2.67, 4 Ga 2.67



[4]
VASP calculation (PBE) on Zr4AsPbN2 after structural relaxation.

## Properties
E ... -68.440 eV/cell
Total magnetic moment ... 0.0012 μB/atom
Crystal system ... hexagonal
Volume ... 17.1 A^3/atom

abc: 3.4042 3.4042 13.5976
angles: 90.00 90.00 120.00
Last column: nearest neighbours and their distance in Å.
Space group P-6m2 (No. 187)
One atom of each set of equivalent atoms:
Zr 0.0000 0.0000 0.1406 x2  3 N 2.32
Zr 0.6667 0.3333 0.3188 x2  3 N 2.29
As 0.6667 0.3333 0.0000 x1  6 Zr 2.74
Pb 0.0000 0.0000 0.5000 x1  6 Zr 3.15, 6 Pb 3.40
N 0.3333 0.6667 0.2317 x2  6 Zr 2.29-2.32



[5]
VASP calculation (PBE) on Gd2ErIn3CuNi2 after structural relaxation.

## Properties
E ... -82.465 eV/cell
Total magnetic moment ... 0.0004 μB/atom
Crystal system ... orthorhombic
Volume ... 20.5 A^3/atom

abc: 3.8322 12.9045 7.4456
angles: 90.00 90.00 90.00
Last column: nearest neighbours and their distance in Å.
Space group Amm2 (No. 38)
One atom of each set of equivalent atoms:
Gd 0.0000 0.2063 0.0000 x4  4 Ni 2.95-2.96, 1 Cu 3.08, 6 In 3.12-3.31
Er 0.0000 0.0000 0.3812 x2  4 Ni 2.95, 1 Cu 3.07, 6 In 3.11-3.30
In 0.5000 0.0000 0.0522 x2  2 Cu 2.72, 2 Ni 2.80
In 0.5000 0.1285 0.6642 x4  2 Cu 2.71, 2 Ni 2.80-2.82
Cu 0.0000 0.0000 0.7929 x2  6 In 2.71-2.72
Ni 0.5000 0.1661 0.2937 x4  3 In 2.80-2.82, 2 Er 2.95, 4 Gd 2.95-2.96



[6]
VASP calculation (PBE) on BaCdPtPb2 after structural relaxation.

## Properties
E ... -36.449 eV/cell
Total magnetic moment ... 0.0017 μB/atom
Crystal system ... tetragonal
Volume ... 30.3 A^3/atom

abc: 5.1087 5.1087 11.6215
angles: 90.00 90.00 90.00
Last column: nearest neighbours and their distance in Å.
Space group P4/nmm (No. 129, origin choice 2)
One atom of each set of equivalent atoms:
Ba 0.2500 0.2500 0.2234 x2  4 Pt 3.64, 5 Pb 3.73-3.90, 4 Cd 3.91
Cd 0.2500 0.2500 0.6475 x2  5 Pb 2.96-3.08
Pt 0.2500 0.7500 0.0000 x2  4 Pb 2.79
Pb 0.2500 0.2500 0.9026 x2  4 Pt 2.79, 1 Cd 2.96
Pb 0.2500 0.7500 0.5000 x2  4 Cd 3.08



[7]
VASP calculation (PBE) on NaBeTc after structural relaxation.

## Properties
E ... -39.175 eV/cell
Total magnetic moment ... 0.7171 μB/atom
Crystal system ... cubic
Volume ... 17.5 A^3/atom

abc: 5.9446 5.9446 5.9446
angles: 90.00 90.00 90.00
Last column: nearest neighbours and their distance in Å.
Space group F-43m (No. 216)
One atom of each set of equivalent atoms:
Na 0.0000 0.0000 0.0000 x4  4 Be 2.57, 4 Tc 2.57
Be 0.2500 0.2500 0.7500 x4  4 Na 2.57
Tc 0.2500 0.2500 0.2500 x4  4 Na 2.57



[8]
VASP calculation (PBE) on Rb2TcO4 after structural relaxation.

## Properties
E ... -86.972 eV/cell
Total magnetic moment ... 0.1429 μB/atom
Crystal system ... monoclinic
Volume ... 20.9 A^3/atom

abc: 6.4176 6.3919 7.6333
angles: 90.00 110.85 90.00
Last column: nearest neighbours and their distance in Å.
Space group P2_1/m (No. 11)
One atom of each set of equivalent atoms:
Rb 0.1691 0.2500 0.0234 x2  4 O 2.73-2.96
Rb 0.3089 0.2500 0.5679 x2  6 O 2.81-3.03
Tc 0.2505 0.7500 0.7923 x2  4 O 1.79
O 0.0673 0.5285 0.7340 x4  1 Tc 1.79
O 0.4013 0.7500 0.0401 x2  1 Tc 1.79
O 0.4387 0.7500 0.6663 x2  1 Tc 1.79



[9]
VASP calculation (PBE) on Y3Si2Ag4Sn2 after structural relaxation.

## Properties
E ... -110.412 eV/cell
Total magnetic moment ... 0.0003 μB/atom
Crystal system ... orthorhombic
Volume ... 21.3 A^3/atom

abc: 4.4497 7.0734 14.8854
angles: 90.00 90.00 90.00
Last column: nearest neighbours and their distance in Å.
Space group Immm (No. 71)
One atom of each set of equivalent atoms:
Y 0.0000 0.0000 0.0000 x2  4 Si 3.21, 2 Sn 3.25, 8 Ag 3.51
Y 0.0000 0.5000 0.1202 x4  4 Si 3.10, 4 Ag 3.13, 2 Sn 3.28
Si 0.0000 0.1719 0.5000 x4  1 Si 2.43, 2 Ag 2.49
Ag 0.0000 0.3013 0.3441 x8  1 Si 2.49, 2 Sn 2.79
Sn 0.0000 0.0000 0.2181 x4  6 Ag 2.79-2.84



[10]
VASP calculation (PBE) on DyBeZn after structural relaxation.

## Properties
E ... -30.954 eV/cell
Total magnetic moment ... 0.0034 μB/atom
Crystal system ... cubic
Volume ... 22.4 A^3/atom

abc: 6.4506 6.4506 6.4506
angles: 90.00 90.00 90.00
Last column: nearest neighbours and their distance in Å.
Space group F-43m (No. 216)
One atom of each set of equivalent atoms:
Dy 0.0000 0.0000 0.0000 x4  4 Be 2.79, 4 Zn 2.79
Be 0.2500 0.2500 0.7500 x4  4 Dy 2.79
Zn 0.2500 0.2500 0.2500 x4  4 Dy 2.79



[11]
VASP calculation (PBE) on Rb2Mo3As3 after structural relaxation.

## Properties
E ... -102.318 eV/cell
Total magnetic moment ... 0.0002 μB/atom
Crystal system ... hexagonal
Volume ... 26.7 A^3/atom

abc: 10.5058 10.5058 4.4748
angles: 90.00 90.00 120.00
Last column: nearest neighbours and their distance in Å.
Space group P-6m2 (No. 187)
One atom of each set of equivalent atoms:
Rb 0.0000 0.0000 0.0000 x1  6 As 3.74
Rb 0.2036 0.4071 0.5000 x3  6 As 3.41-3.55
Mo 0.4859 0.2429 0.0000 x3  4 As 2.64-2.65, 6 Mo 2.76-2.85
Mo 0.5798 0.1596 0.5000 x3  4 As 2.66-2.67, 6 Mo 2.74-2.76
As 0.0014 0.5007 0.0000 x3  4 Mo 2.64-2.67
As 0.3296 0.1648 0.5000 x3  4 Mo 2.65-2.66



[12]
VASP calculation (PBE) on Zn3PBr3 after structural relaxation.

## Properties
E ... -18.776 eV/cell
Crystal system ... monoclinic
Volume ... 27.2 A^3/atom

abc: 6.6886 4.0565 7.0251
angles: 90.00 90.19 90.00
Last column: nearest neighbours and their distance in Å.
Space group Pm (No. 6)
One atom of each set of equivalent atoms:
Zn 0.0000 0.0000 0.0000 x1  2 P 2.30
Zn 0.0405 0.5000 0.4224 x1  1 P 2.30, 1 Br 2.46
Zn 0.5599 0.5000 0.1586 x1  1 P 2.30, 1 Br 2.45
P 0.9018 0.5000 0.1230 x1  4 Zn 2.30
Br 0.3982 0.0000 0.9847 x1  3 Zn 2.60-2.67
Br 0.4042 0.5000 0.4740 x1  2 Zn 2.45-2.46
Br 0.9292 0.0000 0.6275 x1  3 Zn 2.60-2.66



[13]
VASP calculation (PBE) on NdSiB after structural relaxation.

## Properties
E ... -65.009 eV/cell
Total magnetic moment ... 0.0019 μB/atom
Crystal system ... cubic
Volume ... 18.1 A^3/atom

abc: 6.0158 6.0158 6.0158
angles: 90.00 90.00 90.00
Last column: nearest neighbours and their distance in Å.
Space group F-43m (No. 216)
One atom of each set of equivalent atoms:
Nd 0.0000 0.0000 0.0000 x4  4 B 2.60
Si 0.0000 0.0000 0.5000 x4  4 B 2.60
B 0.2500 0.2500 0.2500 x4  4 Nd 2.60, 4 Si 2.60



[14]
VASP calculation (PBE) on ZrSc2Cu4Si4 after structural relaxation.

## Properties
E ... -129.154 eV/cell
Total magnetic moment ... 0.0002 μB/atom
Crystal system ... orthorhombic
Volume ... 15.0 A^3/atom

abc: 3.9469 6.4013 13.0427
angles: 90.00 90.00 90.00
Last column: nearest neighbours and their distance in Å.
Space group Immm (No. 71)
One atom of each set of equivalent atoms:
Zr 0.0000 0.0000 0.0000 x2  6 Si 2.81-2.83
Sc 0.0000 0.5000 0.1259 x4  6 Si 2.84, 6 Cu 2.84-2.93
Cu 0.0000 0.3064 0.3292 x8  4 Si 2.35-2.45, 1 Cu 2.48
Si 0.0000 0.0000 0.2171 x4  6 Cu 2.41-2.45
Si 0.0000 0.1884 0.5000 x4  2 Cu 2.35, 1 Si 2.41



[15]
VASP calculation (PBE) on Pm2Pa after structural relaxation.

## Properties
E ... -97.911 eV/cell
Total magnetic moment ... 0.0281 μB/atom
Crystal system ... cubic
Volume ... 89.6 A^3/atom

abc: 12.9077 12.9077 12.9077
angles: 90.00 90.00 90.00
Last column: nearest neighbours and their distance in Å.
Space group Fd-3m (No. 227, origin choice 2)
One atom of each set of equivalent atoms:
Pm 0.0000 0.0000 0.0000 x16  2 Pa 2.79
Pa 0.1250 0.1250 0.1250 x8  4 Pm 2.79



[16]
VASP calculation (PBE) on ErTe3PbAu after structural relaxation.

## Properties
E ... -100.536 eV/cell
Total magnetic moment ... 0.0001 μB/atom
Crystal system ... orthorhombic
Volume ... 29.4 A^3/atom

abc: 4.2675 14.8770 11.1160
angles: 90.00 90.00 90.00
Last column: nearest neighbours and their distance in Å.
Space group Cmcm (No. 63)
One atom of each set of equivalent atoms:
Er 0.0000 0.0000 0.0000 x4  6 Te 3.09
Te 0.0000 0.0914 0.2500 x4  2 Au 2.83, 2 Er 3.09
Te 0.0000 0.3541 0.0496 x8  1 Au 2.78, 2 Er 3.09
Pb 0.0000 0.2252 0.7500 x4  6 Te 3.30-3.46, 2 Au 3.56
Au 0.0000 0.4661 0.2500 x4  4 Te 2.78-2.83



[17]
VASP calculation (PBE) on HfBePb2 after structural relaxation.

## Properties
E ... -72.736 eV/cell
Total magnetic moment ... 0.0007 μB/atom
Crystal system ... cubic
Volume ... 23.8 A^3/atom

abc: 7.2459 7.2459 7.2459
angles: 90.00 90.00 90.00
Last column: nearest neighbours and their distance in Å.
Space group F-43m (No. 216)
One atom of each set of equivalent atoms:
Hf 0.0000 0.0000 0.0000 x4  4 Be 3.14, 4 Pb 3.14
Be 0.2500 0.2500 0.7500 x4  4 Hf 3.14, 4 Pb 3.14
Pb 0.0000 0.0000 0.5000 x4  4 Pb 3.14, 4 Be 3.14
Pb 0.2500 0.2500 0.2500 x4  4 Hf 3.14, 4 Pb 3.14



[18]
VASP calculation (PBE) on ZrOsC2 after structural relaxation.

## Properties
E ... -36.855 eV/cell
Total magnetic moment ... 0.0297 μB/atom
Crystal system ... tetragonal
Volume ... 11.5 A^3/atom

abc: 3.2224 3.2224 4.4385
angles: 90.00 90.00 90.00
Last column: nearest neighbours and their distance in Å.
Space group P4/mmm (No. 123)
One atom of each set of equivalent atoms:
Zr 0.0000 0.0000 0.0000 x1  6 C 2.22-2.28
Os 0.5000 0.5000 0.5000 x1  6 C 2.22-2.28
C 0.0000 0.0000 0.5000 x1  2 Zr 2.22, 4 Os 2.28
C 0.5000 0.5000 0.0000 x1  2 Os 2.22, 4 Zr 2.28



[19]
VASP calculation (PBE) on Pr2Tm2CF5 after structural relaxation.

## Properties
E ... -126.879 eV/cell
Total magnetic moment ... 0.0001 μB/atom
Crystal system ... monoclinic
Volume ... 17.3 A^3/atom

abc: 14.8063 3.5329 7.2878
angles: 90.00 114.65 90.00
Last column: nearest neighbours and their distance in Å.
Space group C2/m (No. 12)
One atom of each set of equivalent atoms:
Pr 0.0176 0.0000 0.2570 x4  2 C 2.51, 4 F 2.58-2.67
Tm 0.1698 0.5000 0.1129 x4  5 F 2.21-2.37, 1 C 2.30
C 0.0000 0.5000 0.0000 x2  2 Tm 2.30, 4 Pr 2.51
F 0.0000 0.5000 0.5000 x2  4 Pr 2.59
F 0.1741 0.0000 0.9056 x4  3 Tm 2.34-2.37, 1 Pr 2.58
F 0.2077 0.0000 0.3136 x4  2 Tm 2.21



[20]
VASP calculation (PBE) on Tm2Al4IrPd after structural relaxation.

## Properties
E ... -89.166 eV/cell
Total magnetic moment ... 0.0014 μB/atom
Crystal system ... orthorhombic
Volume ... 18.6 A^3/atom

abc: 7.0501 4.2049 10.0231
angles: 90.00 90.00 90.00
Last column: nearest neighbours and their distance in Å.
Space group Amm2 (No. 38)
One atom of each set of equivalent atoms:
Tm 0.0000 0.0000 0.0000 x2  3 Pd 2.82-3.04, 4 Al 3.11
Tm 0.5000 0.0000 0.1384 x2  3 Ir 2.84-3.02, 6 Al 3.09-3.16
Al 0.1977 0.0000 0.7136 x4  1 Ir 2.56, 2 Pd 2.61, 1 Al 2.79
Al 0.3055 0.0000 0.4226 x4  1 Pd 2.58, 2 Ir 2.60, 1 Al 2.74
Ir 0.5000 0.0000 0.8554 x2  6 Al 2.56-2.60, 1 Tm 2.84
Pd 0.0000 0.0000 0.2816 x2  6 Al 2.58-2.61, 1 Tm 2.82



[21]
VASP calculation (PBE) on NdCd2B after structural relaxation.

## Properties
E ... -47.385 eV/cell
Total magnetic moment ... 0.0000 μB/atom
Crystal system ... monoclinic
Volume ... 22.0 A^3/atom

abc: 7.4118 4.3017 11.3446
angles: 90.00 102.78 90.00
Last column: nearest neighbours and their distance in Å.
Space group C2/m (No. 12)
One atom of each set of equivalent atoms:
Nd 0.0839 0.0000 0.2529 x4  1 B 2.80
Cd 0.1456 0.5000 0.9366 x4  3 B 2.57-2.58, 3 Cd 2.85
Cd 0.1906 0.0000 0.5699 x4  3 B 2.59-2.60
B 0.0000 0.0000 0.0000 x2  6 Cd 2.57-2.58, 2 Nd 2.80
B 0.0000 0.5000 0.5000 x2  6 Cd 2.59-2.60



[22]
VASP calculation (PBE) on YTm2Sn3PdPt2 after structural relaxation.

## Properties
E ... -108.228 eV/cell
Total magnetic moment ... 0.0001 μB/atom
Crystal system ... orthorhombic
Volume ... 21.6 A^3/atom

abc: 3.9834 13.0401 7.4797
angles: 90.00 90.00 90.00
Last column: nearest neighbours and their distance in Å.
Space group Amm2 (No. 38)
One atom of each set of equivalent atoms:
Y 0.0000 0.0000 0.0000 x2  4 Pt 3.05, 1 Pd 3.07, 6 Sn 3.19-3.35
Tm 0.0000 0.2040 0.6121 x4  4 Pt 3.01, 1 Pd 3.06, 6 Sn 3.20-3.35
Sn 0.5000 0.0000 0.6664 x2  2 Pd 2.76, 2 Pt 2.84
Sn 0.5000 0.1296 0.2794 x4  2 Pd 2.79, 2 Pt 2.80-2.83
Pd 0.0000 0.0000 0.4103 x2  6 Sn 2.76-2.79, 2 Tm 3.06, 1 Y 3.07
Pt 0.5000 0.1688 0.9069 x4  3 Sn 2.80-2.84, 4 Tm 3.01, 2 Y 3.05



[23]
VASP calculation (PBE) on LaHoTh after structural relaxation.

## Properties
E ... -58.811 eV/cell
Total magnetic moment ... 0.0003 μB/atom
Crystal system ... cubic
Volume ... 38.4 A^3/atom

abc: 7.7221 7.7221 7.7221
angles: 90.00 90.00 90.00
Last column: nearest neighbours and their distance in Å.
Space group F-43m (No. 216)
One atom of each set of equivalent atoms:
La 0.0000 0.0000 0.0000 x4  4 Ho 3.34
Ho 0.2500 0.2500 0.2500 x4  4 La 3.34, 4 Th 3.34
Th 0.0000 0.0000 0.5000 x4  4 Ho 3.34



[24]
VASP calculation (PBE) on Zn2Pb after structural relaxation.

## Properties
E ... -36.625 eV/cell
Crystal system ... cubic
Volume ... 74.2 A^3/atom

abc: 12.1213 12.1213 12.1213
angles: 90.00 90.00 90.00
Last column: nearest neighbours and their distance in Å.
Space group Fd-3m (No. 227, origin choice 2)
One atom of each set of equivalent atoms:
Zn 0.0000 0.0000 0.0000 x16  2 Pb 2.62
Pb 0.1250 0.1250 0.1250 x8  4 Zn 2.62